# 1
! Rb2NbCuCl6 PBE optimized geometry; values from VASP
! electronic total energy = -0.147 Ha/atom
&SYSTEM
  ibrav = 0, nat = 10, ntyp = 4
/
ATOMIC_SPECIES
Cl 35.45 Cl.upf
Rb 85.47 Rb.upf
Cu 63.55 Cu.upf
Nb 92.91 Nb.upf
ATOMIC_POSITIONS angstrom
Cl 3.090 -1.616 10.704
Cl 4.509 -1.221 4.155
Cl -1.118 -2.611 5.570
Rb 4.854 -0.170 7.554
Cl 0.775 -0.876 2.223
Cl 1.436 -0.004 5.707
Rb -0.328 -1.450 8.857
Cu 1.696 -1.916 4.863
Nb 0.000 0.000 0.000
Cl 2.616 -2.956 7.503
CELL_PARAMETERS angstrom
-3.487 -3.196 6.166
6.878 -0.636 3.560
1.134 2.212 6.685

# 2
! TbPm2Rh3 PBE optimized geometry; values from VASP
! energy relative to the elements = -735 meV/atom
! excess energy over the best structure of this formula in the dataset = 0.02 eV/f.u.
&SYSTEM
  ibrav = 0, nat = 12, ntyp = 3
/
ATOMIC_SPECIES
Pm 145.00 Pm.upf
Rh 102.91 Rh.upf
Tb 158.93 Tb.upf
ATOMIC_POSITIONS angstrom
Pm 1.550 -2.184 2.209
Pm 0.000 0.000 0.000
Rh -0.096 -7.600 0.809
Rh -1.079 -2.701 0.774
Rh -1.686 -5.360 -1.458
Rh 0.493 -4.917 3.016
Pm 0.938 -4.844 0.008
Tb -0.607 -2.664 -2.207
Rh 1.358 -4.748 -2.989
Pm 0.324 -7.504 -2.189
Rh 2.948 -6.989 -0.722
Tb -1.230 -5.317 -4.392
CELL_PARAMETERS angstrom
-3.685 -3.251 -0.628
1.848 -4.730 -5.971
3.099 -4.367 4.419

# 3
! Li2PmPt PBE optimized geometry; values from VASP
! energy relative to the elements = -613 meV/atom
! excess energy over the best structure of this formula in the dataset = 0.00 eV/f.u.
&SYSTEM
  ibrav = 0, nat = 8, ntyp = 3
/
ATOMIC_SPECIES
Pm 145.00 Pm.upf
Pt 195.08 Pt.upf
Li 6.94 Li.upf
ATOMIC_POSITIONS angstrom
Pm 0.392 2.495 1.046
Pt -1.138 5.021 0.540
Pm -2.983 3.440 2.215
Li -2.590 1.041 0.083
Li -4.221 0.456 2.090
Pt -1.453 0.914 2.721
Li -1.754 4.264 5.337
Li -0.001 4.894 3.178
CELL_PARAMETERS angstrom
-3.603 1.597 -2.460
-3.384 -1.215 4.166
0.902 5.744 2.408

# 4
! ZrBeAl PBE optimized geometry; values from VASP
! energy relative to the elements = -186 meV/atom
! excess energy over the best structure of this formula in the dataset = 0.60 eV/f.u.
&SYSTEM
  ibrav = 0, nat = 3, ntyp = 3
/
ATOMIC_SPECIES
Zr 91.22 Zr.upf
Be 9.01 Be.upf
Al 26.98 Al.upf
ATOMIC_POSITIONS angstrom
Zr 0.000 0.000 0.000
Be 2.071 1.196 0.846
Al 4.142 2.391 1.691
CELL_PARAMETERS angstrom
4.142 0.000 0.000
2.071 3.587 0.000
2.071 1.196 3.382

# 5
! KRh PBE optimized geometry; values from VASP
! energy relative to the elements = 403 meV/atom
! excess energy over the best structure of this formula in the dataset = 0.07 eV/f.u.
&SYSTEM
  ibrav = 0, nat = 8, ntyp = 2
/
ATOMIC_SPECIES
Rh 102.91 Rh.upf
K 39.10 K.upf
ATOMIC_POSITIONS angstrom
Rh 2.134 -1.232 4.516
K 2.134 -1.232 11.205
Rh 0.000 0.000 4.516
Rh 0.000 0.000 13.549
K 2.134 1.232 2.172
K 2.134 -1.232 15.893
K 2.134 1.232 6.860
Rh 2.134 1.232 13.549
CELL_PARAMETERS angstrom
2.134 -3.696 0.000
2.134 3.696 0.000
0.000 0.000 18.065

# 6
! Ta3GeBr PBE optimized geometry; values from VASP
! excess energy over the best structure of this formula in the dataset = 0.00 eV/f.u.
&SYSTEM
  ibrav = 0, nat = 5, ntyp = 3
/
ATOMIC_SPECIES
Ge 72.64 Ge.upf
Br 79.90 Br.upf
Ta 180.95 Ta.upf
ATOMIC_POSITIONS angstrom
Ge 0.000 0.000 0.000
Br 2.421 2.421 2.421
Ta 0.000 0.000 2.421
Ta 2.421 0.000 0.000
Ta 0.000 2.421 0.000
CELL_PARAMETERS angstrom
4.842 0.000 0.000
0.000 4.842 0.000
0.000 0.000 4.842

# 7
! CePuSc2 PBE optimized geometry; values from VASP
! energy relative to the elements = 118 meV/atom
! excess energy over the best structure of this formula in the dataset = 0.05 eV/f.u.
&SYSTEM
  ibrav = 0, nat = 4, ntyp = 3
/
ATOMIC_SPECIES
Sc 44.96 Sc.upf
Pu 244.00 Pu.upf
Ce 140.12 Ce.upf
ATOMIC_POSITIONS angstrom
Sc 0.000 0.000 7.421
Sc 0.000 0.000 2.396
Pu 1.620 1.620 0.000
Ce 1.620 1.620 4.909
CELL_PARAMETERS angstrom
3.239 0.000 0.000
0.000 3.239 0.000
0.000 0.000 9.817

# 8
! ScCrCd2 PBE optimized geometry; values from VASP
! energy relative to the elements = 275 meV/atom
! excess energy over the best structure of this formula in the dataset = 0.93 eV/f.u.
&SYSTEM
  ibrav = 0, nat = 4, ntyp = 3
/
ATOMIC_SPECIES
Sc 44.96 Sc.upf
Cd 112.41 Cd.upf
Cr 52.00 Cr.upf
ATOMIC_POSITIONS angstrom
Sc 21.066 3.484 2.048
Cd 14.166 2.343 1.377
Cd 27.966 4.625 2.719
Cr 7.022 1.161 0.683
CELL_PARAMETERS angstrom
9.711 -0.018 -0.011
9.188 3.144 -0.011
9.188 1.520 2.753

| no. | density of states at the Fermi level (states/eV per atom) |
| --- | --- |
| 1 | 0.85 |
| 2 | 0.67 |
| 3 | 0.54 |
| 4 | 0.41 |
| 5 | 1.02 |
| 6 | 1.38 |
| 7 | 3.24 |
| 8 | 1.03 |